(1)
VASP calculation (PBE) on a relaxed structure of Dy3TlCu2.

Output
The calculation puts the density of states at the Fermi level at 3.1 states/eV/f.u. The energy of formation from the pure elements comes out at -0.273 eV per atom. As for the crystal system: tetragonal. The value obtained for the magnetization is 0.00 μB/f.u.

Unit cell a=3.496 b=3.496 c=11.299 alpha=90.00 beta=90.00 gamma=90.00
Atoms (fractional coordinates):
Dy  0.000  0.000  0.000
Dy  0.000  0.000  0.306
Dy  0.000  0.000  0.694
Tl  0.500  0.500  0.500
Cu  0.500  0.500  0.154
Cu  0.500  0.500  0.846

***

(2)
VASP calculation (PBE) on a relaxed structure of Dy4TlCu3.

Output
The calculation puts the density of states at the Fermi level at 3.7 states/eV/f.u. The energy of formation from the pure elements comes out at -0.248 eV per atom. As for the crystal system: trigonal. The value obtained for the magnetization is 0.00 μB/f.u.

Unit cell a=8.733 b=8.733 c=8.733 alpha=33.48 beta=33.48 gamma=33.48
Atoms (fractional coordinates):
Dy  0.118  0.118  0.118
Dy  0.369  0.369  0.369
Dy  0.631  0.631  0.631
Dy  0.882  0.882  0.882
Tl  0.500  0.500  0.500
Cu  0.000  0.000  0.000
Cu  0.247  0.247  0.247
Cu  0.753  0.753  0.753

***

(3)
VASP calculation (PBE) on a relaxed structure of DyTl2Cu.

Output
The calculation puts the density of states at the Fermi level at 1.6 states/eV/f.u. The energy of formation from the pure elements comes out at -0.059 eV per atom. As for the crystal system: trigonal. The value obtained for the magnetization is 0.00 μB/f.u. For the energy above the lowest structure with this stoichiometry, the calculation gives 12 meV per atom.

Unit cell a=5.850 b=5.850 c=5.850 alpha=46.22 beta=46.22 gamma=46.22
Atoms (fractional coordinates):
Dy  0.000  0.000  0.000
Tl  0.227  0.227  0.227
Tl  0.773  0.773  0.773
Cu  0.500  0.500  0.500

***

(4)
VASP calculation (PBE) on a relaxed structure of Dy3Tl2Cu2.

Output
The calculation puts the density of states at the Fermi level at 5.9 states/eV/f.u. The energy of formation from the pure elements comes out at -0.319 eV per atom. As for the crystal system: orthorhombic. The value obtained for the magnetization is 0.00 μB/f.u.

Unit cell a=10.923 b=10.923 c=3.651 alpha=90.00 beta=90.00 gamma=157.77
Atoms (fractional coordinates):
Dy  0.000  0.000  0.000
Dy  0.174  0.826  0.000
Dy  0.826  0.174  0.000
Tl  0.415  0.585  0.500
Tl  0.585  0.415  0.500
Cu  0.280  0.720  0.500
Cu  0.720  0.280  0.500

***

Question: What is the formula in the second record?
Answer: Dy4TlCu3